[1]
The following is a DFT calculation (PBE) of an optimized crystal structure of Tm2MgRu.

extended XYZ file:
```
4
Lattice="4.891 0.000 0.000 0.000 4.891 0.000 0.000 0.000 3.614" Properties=species:S:1:pos:R:3 pbc="T T T"
Tm 0.000 2.446 0.000
Tm 2.446 0.000 0.000
Mg 0.000 0.000 1.807
Ru 2.446 2.446 1.807
```

Computed properties:
**Energy**: -5.14 eV per atom
**Energy relative to the elements**: -0.7 eV/f.u.
**Space group**: P4/mmm (123)
**DOS at the Fermi energy**: 0.87 states/eV per atom
**Polymorph energy (0 for the lowest one)**: 0.164 eV per atom

=====

[2]
The following is a DFT calculation (PBE) of an optimized crystal structure of Li2ZnMo.

extended XYZ file:
```
4
Lattice="-1.254 2.425 4.998 1.254 -2.425 4.998 1.254 2.425 -4.998" Properties=species:S:1:pos:R:3 pbc="T T T"
Li 0.000 0.000 2.312
Li 0.000 0.000 7.683
Zn 1.254 0.000 0.000
Mo 0.000 2.425 0.000
```

Computed properties:
**Energy**: -3.77 eV per atom
**Energy relative to the elements**: 0.9 eV/f.u.
**Space group**: Immm (71)
**DOS at the Fermi energy**: 0.64 states/eV per atom

=====

[3]
The following is a DFT calculation (PBE) of an optimized crystal structure of NpP2.

extended XYZ file:
```
3
Lattice="-1.894 1.894 3.914 1.894 -1.894 3.914 1.894 1.894 -3.914" Properties=species:S:1:pos:R:3 pbc="T T T"
Np 0.000 0.000 0.000
P 0.000 0.000 2.848
P 0.000 0.000 4.981
```

Computed properties:
**Energy**: -8.40 eV per atom
**Energy relative to the elements**: -1.4 eV/f.u.
**Space group**: I4/mmm (139)
**DOS at the Fermi energy**: 2.64 states/eV per atom

=====

[4]
The following is a DFT calculation (PBE) of an optimized crystal structure of KSiPt.

extended XYZ file:
```
3
Lattice="0.000 3.273 3.273 3.273 0.000 3.273 3.273 3.273 0.000" Properties=species:S:1:pos:R:3 pbc="T T T"
K 0.000 0.000 0.000
Si 3.273 3.273 3.273
Pt 1.636 1.636 1.636
```

Computed properties:
**Energy**: -3.76 eV per atom
**Space group**: F-43m (216)
**DOS at the Fermi energy**: 0.50 states/eV per atom
**Formation energy without anion corrections**: 0.423 eV per atom
**Polymorph energy (0 for the lowest one)**: 0.879 eV per atom

=====

[5]
The following is a DFT calculation (PBE) of an optimized crystal structure of LiTiNiTe2.

extended XYZ file:
```
5
Lattice="5.084 0.000 0.000 0.000 5.084 0.000 0.000 0.000 4.147" Properties=species:S:1:pos:R:3 pbc="T T T"
Li 0.000 0.000 0.000
Ti 2.542 2.542 0.000
Ni 0.000 0.000 2.073
Te 0.000 2.542 2.073
Te 2.542 0.000 2.073
```

Computed properties:
**Energy**: -4.32 eV per atom
**Space group**: P4/mmm (123)
**DOS at the Fermi energy**: 0.64 states/eV per atom
**Formation energy without anion corrections**: 0.059 eV per atom

=====

[6]
The following is a DFT calculation (PBE) of an optimized crystal structure of DyBS.

extended XYZ file:
```
6
Lattice="3.847 0.000 0.000 0.000 3.494 0.000 -1.914 0.000 7.569" Properties=species:S:1:pos:R:3 pbc="T T T"
Dy 0.000 0.873 1.484
Dy 1.932 2.620 6.085
B 0.010 0.873 7.217
B 1.923 2.620 0.352
S 0.009 0.873 5.233
S 1.924 2.620 2.335
```

Computed properties:
**Energy**: -6.28 eV per atom
**Space group**: P2_1/m (11)
**DOS at the Fermi energy**: 0.21 states/eV per atom
**Formation energy without anion corrections**: -1.148 eV per atom
**Polymorph energy (0 for the lowest one)**: 0.000 eV per atom

=====

[7]
The following is a DFT calculation (PBE) of an optimized crystal structure of Ce4C2S.

extended XYZ file:
```
7
Lattice="1.844 1.065 12.847 -1.844 1.065 12.847 0.000 -2.130 12.847" Properties=species:S:1:pos:R:3 pbc="T T T"
Ce 0.000 0.000 4.679
Ce 0.000 0.000 10.984
Ce 0.000 0.000 27.556
Ce 0.000 0.000 33.861
C 0.000 0.000 16.222
C 0.000 0.000 22.318
S 0.000 0.000 0.000
```

Computed properties:
**Energy**: -7.29 eV per atom
**Space group**: R-3m (166)
**DOS at the Fermi energy**: 1.83 states/eV per atom
**Formation energy without anion corrections**: -0.676 eV per atom

=====

[8]
The following is a DFT calculation (PBE) of an optimized crystal structure of Ba3DyRu2O9.

extended XYZ file:
```
30
Lattice="5.958 0.000 0.000 -2.979 5.160 0.000 0.000 0.000 14.595" Properties=species:S:1:pos:R:3 pbc="T T T"
Ba 0.000 0.000 3.649
Ba 0.000 0.000 10.946
Ba 0.000 3.440 1.381
Ba 0.000 3.440 5.916
Ba 2.979 1.720 8.679
Ba 2.979 1.720 13.214
Dy 0.000 0.000 0.000
Dy 0.000 0.000 7.297
Ru 0.000 3.440 9.697
Ru 0.000 3.440 12.195
Ru 2.979 1.720 2.400
Ru 2.979 1.720 4.897
O -1.404 2.630 10.946
O 0.000 1.818 8.584
O 0.000 1.818 13.308
O -1.405 4.251 8.584
O -1.405 4.251 13.308
O 1.574 0.909 1.287
O 1.574 0.909 6.010
O 1.404 2.630 10.946
O 0.000 5.061 10.946
O 2.979 0.099 3.649
O 1.576 2.530 3.649
O 1.405 4.251 8.584
O 1.405 4.251 13.308
O 4.384 0.909 1.287
O 4.384 0.909 6.010
O 2.979 3.342 1.287
O 2.979 3.342 6.010
O 4.383 2.530 3.649
```

Computed properties:
**Energy**: -7.11 eV per atom
**Space group**: P6_3/mmc (194)
**DOS at the Fermi energy**: 0.33 states/eV per atom
**Formation energy without anion corrections**: -2.212 eV per atom
**Polymorph energy (0 for the lowest one)**: 0.000 eV per atom

=====

[9]
The following is a DFT calculation (PBE) of an optimized crystal structure of HfZr3Zn.

extended XYZ file:
```
5
Lattice="5.154 0.000 0.000 0.000 5.154 0.000 0.000 0.000 5.154" Properties=species:S:1:pos:R:3 pbc="T T T"
Hf 0.000 0.000 0.000
Zr 0.000 0.000 2.577
Zr 0.000 2.577 0.000
Zr 2.577 0.000 0.000
Zn 2.577 2.577 2.577
```

Computed properties:
**Energy**: -6.23 eV per atom
**Energy relative to the elements**: 5.7 eV/f.u.
**Space group**: Pm-3m (221)
**DOS at the Fermi energy**: 1.78 states/eV per atom
**Polymorph energy (0 for the lowest one)**: 1.182 eV per atom

=====

[10]
The following is a DFT calculation (PBE) of an optimized crystal structure of Fe3B.

extended XYZ file:
```
32
Lattice="8.532 0.000 0.000 0.000 8.532 0.000 0.000 0.000 4.270" Properties=species:S:1:pos:R:3 pbc="T T T"
Fe 0.276 7.867 1.004
Fe 0.665 4.542 3.139
Fe 0.960 2.441 0.090
Fe 1.204 7.113 3.093
Fe 1.419 5.469 0.958
Fe 1.825 0.960 2.045
Fe 2.441 3.306 2.045
Fe 2.847 7.328 0.958
Fe 3.062 5.685 3.093
Fe 3.306 1.825 0.090
Fe 3.601 8.256 3.139
Fe 3.990 4.931 1.004
Fe 4.542 3.601 3.266
Fe 4.931 0.276 1.131
Fe 5.226 6.706 4.180
Fe 5.469 2.847 1.177
Fe 5.685 1.204 3.312
Fe 6.091 5.226 2.225
Fe 6.706 7.572 2.225
Fe 7.113 3.062 3.312
Fe 7.328 1.419 1.177
Fe 7.572 6.091 4.180
Fe 7.867 3.990 1.131
Fe 8.256 0.665 3.266
B 0.380 2.525 2.237
B 1.741 0.380 4.168
B 2.525 3.886 4.168
B 3.886 1.741 2.237
B 4.646 6.791 2.033
B 6.007 4.646 0.102
B 6.791 8.152 0.102
B 8.152 6.007 2.033
```

Computed properties:
**Energy**: -8.23 eV per atom
**Energy relative to the elements**: -0.9 eV/f.u.
**Space group**: P4_2/n (86)
**DOS at the Fermi energy**: 0.76 states/eV per atom

=====

[11]
The following is a DFT calculation (PBE) of an optimized crystal structure of SmNiPb.

extended XYZ file:
```
12
Lattice="7.395 0.000 0.000 0.000 4.628 0.000 0.000 0.000 7.864" Properties=species:S:1:pos:R:3 pbc="T T T"
Sm 0.114 1.157 1.580
Sm 3.583 3.471 5.512
Sm 3.811 1.157 2.352
Sm 7.281 3.471 6.284
Ni 1.525 3.471 3.280
Ni 2.173 1.157 7.212
Ni 5.222 3.471 0.652
Ni 5.870 1.157 4.584
Pb 1.387 1.157 4.622
Pb 2.311 3.471 0.689
Pb 5.084 1.157 7.175
Pb 6.008 3.471 3.243
```

Computed properties:
**Energy**: -5.15 eV per atom
**Energy relative to the elements**: -1.2 eV/f.u.
**Space group**: Pnma (62)
**DOS at the Fermi energy**: 0.76 states/eV per atom